1.
First-principles (PBE-GGA) data for a relaxed Dy2Ga4Pd3Pt crystal, as listed in Alexandria.

```
data_Dy2Ga4Pd3Pt
_symmetry_space_group_name_H-M 'P -4 m 2'
_symmetry_Int_Tables_number 115
_cell_length_a 4.060
_cell_length_b 4.060
_cell_length_c 11.273
_cell_angle_alpha 90.00
_cell_angle_beta 90.00
_cell_angle_gamma 90.00
loop_
_symmetry_equiv_pos_as_xyz
'x,y,z'
'y,-x,-z'
'-x,-y,z'
'-y,x,-z'
'-x,y,z'
'-y,-x,-z'
'x,-y,z'
'y,x,-z'
loop_
_atom_site_label
_atom_site_type_symbol
_atom_site_fract_x
_atom_site_fract_y
_atom_site_fract_z
_atom_site_occupancy
Dy1 Dy 0.000 0.500 0.248 1
Ga1 Ga 0.000 0.000 0.500 1
Ga2 Ga 0.000 0.500 0.865 1
Ga3 Ga 0.500 0.500 0.500 1
Pd1 Pd 0.000 0.000 0.000 1
Pd2 Pd 0.000 0.500 0.645 1
Pt1 Pt 0.500 0.500 0.000 1
```

Results
Total moment (μB per cell): 0.00

2.
First-principles (PBE-GGA) data for a relaxed DyGa2Pd2Pt crystal, as listed in Alexandria.

```
data_DyGa2Pd2Pt
_symmetry_space_group_name_H-M 'P 4/m m m'
_symmetry_Int_Tables_number 123
_symmetry_space_group_name_Hall '-P 4 2'
_cell_length_a 4.721
_cell_length_b 4.721
_cell_length_c 5.516
_cell_angle_alpha 90.00
_cell_angle_beta 90.00
_cell_angle_gamma 90.00
loop_
_atom_site_label
_atom_site_type_symbol
_atom_site_fract_x
_atom_site_fract_y
_atom_site_fract_z
_atom_site_occupancy
Dy1 Dy 0.000 0.000 0.000 1
Ga1 Ga 0.000 0.500 0.500 1
Pd1 Pd 0.500 0.500 0.244 1
Pt1 Pt 0.000 0.000 0.500 1
```

Results
Total moment (μB per cell): 0.00

3.
First-principles (PBE-GGA) data for a relaxed Dy2Ga4PdPt3 crystal, as listed in Alexandria.

```
data_Dy2Ga4PdPt3
_symmetry_space_group_name_H-M 'P -4 m 2'
_symmetry_Int_Tables_number 115
_cell_length_a 4.100
_cell_length_b 4.100
_cell_length_c 11.095
_cell_angle_alpha 90.00
_cell_angle_beta 90.00
_cell_angle_gamma 90.00
loop_
_symmetry_equiv_pos_as_xyz
'x,y,z'
'y,-x,-z'
'-x,-y,z'
'-y,x,-z'
'-x,y,z'
'-y,-x,-z'
'x,-y,z'
'y,x,-z'
loop_
_atom_site_label
_atom_site_type_symbol
_atom_site_fract_x
_atom_site_fract_y
_atom_site_fract_z
_atom_site_occupancy
Dy1 Dy 0.000 0.500 0.246 1
Ga1 Ga 0.000 0.000 0.000 1
Ga2 Ga 0.000 0.500 0.634 1
Ga3 Ga 0.500 0.500 0.000 1
Pd1 Pd 0.000 0.000 0.500 1
Pt1 Pt 0.000 0.500 0.858 1
Pt2 Pt 0.500 0.500 0.500 1
```

Results
Total moment (μB per cell): 0.00

4.
First-principles (PBE-GGA) data for a relaxed Dy2Ga3PdPt4 crystal, as listed in Alexandria.

```
data_Dy2Ga3PdPt4
_symmetry_space_group_name_H-M 'P -4 m 2'
_symmetry_Int_Tables_number 115
_cell_length_a 3.998
_cell_length_b 3.998
_cell_length_c 11.701
_cell_angle_alpha 90.00
_cell_angle_beta 90.00
_cell_angle_gamma 90.00
loop_
_symmetry_equiv_pos_as_xyz
'x,y,z'
'y,-x,-z'
'-x,-y,z'
'-y,x,-z'
'-x,y,z'
'-y,-x,-z'
'x,-y,z'
'y,x,-z'
loop_
_atom_site_label
_atom_site_type_symbol
_atom_site_fract_x
_atom_site_fract_y
_atom_site_fract_z
_atom_site_occupancy
Dy1 Dy 0.000 0.500 0.241 1
Ga1 Ga 0.000 0.000 0.000 1
Ga2 Ga 0.000 0.500 0.631 1
Pd1 Pd 0.500 0.500 0.000 1
Pt1 Pt 0.000 0.000 0.500 1
Pt2 Pt 0.000 0.500 0.841 1
Pt3 Pt 0.500 0.500 0.500 1
```

Results
Total moment (μB per cell): 0.00

5.
First-principles (PBE-GGA) data for a relaxed DyGaPdPt crystal, as listed in Alexandria.

```
data_DyGaPdPt
_symmetry_space_group_name_H-M 'F -4 3 m'
_symmetry_Int_Tables_number 216
_symmetry_space_group_name_Hall 'F -4 2 3'
_cell_length_a 6.625
_cell_length_b 6.625
_cell_length_c 6.625
_cell_angle_alpha 90.00
_cell_angle_beta 90.00
_cell_angle_gamma 90.00
loop_
_atom_site_label
_atom_site_type_symbol
_atom_site_fract_x
_atom_site_fract_y
_atom_site_fract_z
_atom_site_occupancy
Dy1 Dy 0.000 0.000 0.000 1
Ga1 Ga 0.000 0.000 0.500 1
Pd1 Pd 0.250 0.250 0.750 1
Pt1 Pt 0.250 0.250 0.250 1
```

Results
Total moment (μB per cell): 0.00

6.
First-principles (PBE-GGA) data for a relaxed DyGaPdRh crystal, as listed in Alexandria.

```
data_DyGaPdRh
_symmetry_space_group_name_H-M 'F -4 3 m'
_symmetry_Int_Tables_number 216
_symmetry_space_group_name_Hall 'F -4 2 3'
_cell_length_a 6.542
_cell_length_b 6.542
_cell_length_c 6.542
_cell_angle_alpha 90.00
_cell_angle_beta 90.00
_cell_angle_gamma 90.00
loop_
_atom_site_label
_atom_site_type_symbol
_atom_site_fract_x
_atom_site_fract_y
_atom_site_fract_z
_atom_site_occupancy
Dy1 Dy 0.000 0.000 0.000 1
Ga1 Ga 0.000 0.000 0.500 1
Pd1 Pd 0.250 0.250 0.750 1
Rh1 Rh 0.250 0.250 0.250 1
```

Results
Total moment (μB per cell): 0.00

Computed values of energy of formation (unit: meV/atom) for the preceding records, in sequence: -818; -509; -933; -921; -871; -775.